Material: LiCoRh3
Method: DFT, PBE
State: optimized geometry

The structure in CIF format:
```
data_LiCoRh3
_chemical_formula_sum 'Li1 Co1 Rh3'
_space_group_name_H-M_alt 'P m -3 m'
_space_group_IT_number 221
_space_group_name_Hall '-P 4 2 3'
_cell_length_a 4.0792
_cell_length_b 4.0792
_cell_length_c 4.0792
_cell_angle_alpha 90.00
_cell_angle_beta 90.00
_cell_angle_gamma 90.00
loop_
_atom_site_label
_atom_site_type_symbol
_atom_site_fract_x
_atom_site_fract_y
_atom_site_fract_z
Li1 Li 0.0000 0.0000 0.0000
Co1 Co 0.5000 0.5000 0.5000
Rh1 Rh 0.0000 0.0000 0.5000
```

Output
The formation energy is 793 meV per atom. The theoretical density is 9.16 g/cm³. The density of states at the Fermi level comes out at 1.3542 states/eV per atom. The size of the total moment comes out at 3.58 Bohr magnetons per cell.

Material: LiCoRh2
Method: DFT, PBE
State: optimized geometry

The structure in CIF format:
```
data_LiCoRh2
_chemical_formula_sum 'Li2 Co2 Rh4'
_space_group_name_H-M_alt 'I m m m'
_space_group_IT_number 71
_space_group_name_Hall '-I 2 2'
_cell_length_a 2.7600
_cell_length_b 4.5172
_cell_length_c 8.5893
_cell_angle_alpha 90.00
_cell_angle_beta 90.00
_cell_angle_gamma 90.00
loop_
_atom_site_label
_atom_site_type_symbol
_atom_site_fract_x
_atom_site_fract_y
_atom_site_fract_z
Li1 Li 0.0000 0.0000 0.0000
Co1 Co 0.0000 0.0000 0.5000
Rh1 Rh 0.0000 0.5000 0.2403
```

Output
The formation energy is 55 meV per atom. The theoretical density is 8.43 g/cm³. The density of states at the Fermi level comes out at 1.1453 states/eV per atom. The size of the total moment comes out at 6.10 Bohr magnetons per cell.